[1]
The following is a DFT calculation (PBE) of an optimized crystal structure of PuZr2Pd9. Values from VASP.

```
&SYSTEM
  ibrav = 0, nat = 12, ntyp = 3
/
ATOMIC_SPECIES
Pu 244.00 Pu.upf
Zr 91.22 Zr.upf
Pd 106.42 Pd.upf
CELL_PARAMETERS angstrom
4.072 0.000 0.000
0.000 4.072 0.000
0.000 0.000 12.255
ATOMIC_POSITIONS crystal
Pu 0.000 0.000 0.000
Zr 0.000 0.000 0.665
Pd 0.500 0.000 0.500
Pd 0.000 0.500 0.824
Pd 0.500 0.500 0.000
Pd 0.500 0.500 0.662
Pd 0.000 0.500 0.176
Pd 0.500 0.000 0.176
Zr 0.000 0.000 0.335
Pd 0.500 0.500 0.338
Pd 0.000 0.500 0.500
Pd 0.500 0.000 0.824
```

---

[2]
! PuZrPd (PBE, relaxed); values from VASP
! **E above lowest polymorph**: 0.000 eV/atom
&SYSTEM
  ibrav = 0, nat = 3, ntyp = 3
/
ATOMIC_SPECIES
Pu 244.00 Pu.upf
Zr 91.22 Zr.upf
Pd 106.42 Pd.upf
CELL_PARAMETERS angstrom
3.358 0.000 0.000
0.000 3.358 0.000
-1.679 -1.679 5.783
ATOMIC_POSITIONS crystal
Pu 0.006 0.006 0.013
Zr 0.314 0.314 0.628
Pd 0.680 0.680 0.360

---

[3]
The following is a DFT calculation (PBE) of an optimized crystal structure of PuZrPd14. Values from VASP.

```
&SYSTEM
  ibrav = 0, nat = 16, ntyp = 3
/
ATOMIC_SPECIES
Pu 244.00 Pu.upf
Pd 106.42 Pd.upf
Zr 91.22 Zr.upf
CELL_PARAMETERS angstrom
-1.871 -3.338 -4.305
-1.944 -3.843 3.825
-6.934 3.673 0.167
ATOMIC_POSITIONS crystal
Pu 0.375 0.375 0.500
Pd 0.628 0.122 0.753
Pd 0.375 0.875 0.500
Pd 0.122 0.628 0.753
Pd 0.375 0.375 0.000
Pd 0.122 0.628 0.247
Pd 0.628 0.628 0.247
Zr 0.875 0.875 0.500
Pd 0.375 0.875 0.000
Pd 0.122 0.122 0.753
Pd 0.628 0.628 0.753
Pd 0.875 0.875 0.000
Pd 0.875 0.375 0.000
Pd 0.122 0.122 0.247
Pd 0.628 0.122 0.247
Pd 0.875 0.375 0.500
```

---

[4]
The following is a DFT calculation (PBE) of an optimized crystal structure of Pu2ZrPd5. Values from VASP.

```
&SYSTEM
  ibrav = 0, nat = 16, ntyp = 3
/
ATOMIC_SPECIES
Pd 106.42 Pd.upf
Pu 244.00 Pu.upf
Zr 91.22 Zr.upf
CELL_PARAMETERS angstrom
4.845 0.000 0.000
0.000 5.822 0.000
0.000 0.000 11.023
ATOMIC_POSITIONS crystal
Pd 0.000 0.680 0.262
Pd 0.000 0.180 0.238
Pu 0.500 0.138 0.852
Pd 0.500 0.154 0.596
Pd 0.000 0.320 0.738
Pu 0.500 0.638 0.648
Pd 0.500 0.846 0.404
Zr 0.000 0.500 0.000
Pd 0.000 0.500 0.500
Pu 0.500 0.862 0.148
Pd 0.000 0.820 0.762
Pd 0.500 0.346 0.096
Zr 0.000 0.000 0.500
Pd 0.000 0.000 0.000
Pd 0.500 0.654 0.904
Pu 0.500 0.362 0.352
```

---

[5]
The following is a DFT calculation (PBE) of an optimized crystal structure of PuZr3Pd12. Values from VASP.

```
&SYSTEM
  ibrav = 0, nat = 16, ntyp = 3
/
ATOMIC_SPECIES
Pd 106.42 Pd.upf
Zr 91.22 Zr.upf
Pu 244.00 Pu.upf
CELL_PARAMETERS angstrom
4.058 0.000 0.000
0.000 4.058 0.000
0.000 0.000 16.327
ATOMIC_POSITIONS crystal
Pd 0.500 0.000 0.378
Pd 0.500 0.500 0.000
Zr 0.000 0.000 0.748
Pd 0.500 0.000 0.867
Pd 0.000 0.500 0.378
Pd 0.000 0.500 0.622
Pd 0.500 0.500 0.500
Zr 0.000 0.000 0.252
Pd 0.500 0.000 0.133
Pd 0.000 0.500 0.867
Pd 0.500 0.500 0.256
Pd 0.000 0.500 0.133
Pd 0.500 0.000 0.622
Pu 0.000 0.000 0.000
Pd 0.500 0.500 0.744
Zr 0.000 0.000 0.500
```

---

[6]
The following is a DFT calculation (PBE) of an optimized crystal structure of RbPd6. Values from VASP.

```
&SYSTEM
  ibrav = 0, nat = 7, ntyp = 2
/
ATOMIC_SPECIES
Pd 106.42 Pd.upf
Rb 85.47 Rb.upf
CELL_PARAMETERS angstrom
6.191 0.000 0.000
-2.064 5.837 0.000
-2.064 -2.918 5.055
ATOMIC_POSITIONS crystal
Pd 0.250 0.500 0.750
Pd 0.500 0.250 0.750
Pd 0.750 0.500 0.250
Pd 0.250 0.750 0.500
Rb 0.000 0.000 0.000
Pd 0.500 0.750 0.250
Pd 0.750 0.250 0.500
```

---

[7]
! Rb3Pd (PBE, relaxed); values from VASP
! **E above lowest polymorph**: 0.057 eV/atom
&SYSTEM
  ibrav = 0, nat = 16, ntyp = 2
/
ATOMIC_SPECIES
Rb 85.47 Rb.upf
Pd 106.42 Pd.upf
CELL_PARAMETERS angstrom
-1.019 -7.149 -7.342
0.693 -4.593 9.191
-8.198 6.231 -0.114
ATOMIC_POSITIONS crystal
Rb 0.299 0.485 0.187
Rb 0.888 0.187 0.701
Rb 0.299 0.112 0.813
Pd 0.000 0.500 0.500
Rb 0.701 0.515 0.813
Rb 0.813 0.299 0.112
Rb 0.515 0.813 0.701
Rb 0.701 0.888 0.187
Rb 0.187 0.299 0.485
Pd 0.500 0.000 0.500
Rb 0.485 0.187 0.299
Pd 0.500 0.500 0.000
Pd 0.000 0.000 0.000
Rb 0.813 0.701 0.515
Rb 0.187 0.701 0.888
Rb 0.112 0.813 0.299

---

[8]
! Rb3Pd (PBE, relaxed); values from VASP
! **E above lowest polymorph**: 0.000 eV/atom
&SYSTEM
  ibrav = 0, nat = 4, ntyp = 2
/
ATOMIC_SPECIES
Rb 85.47 Rb.upf
Pd 106.42 Pd.upf
CELL_PARAMETERS angstrom
-1.203 4.303 1.337
-7.906 -1.871 -1.093
4.202 -3.124 5.701
ATOMIC_POSITIONS crystal
Rb 0.500 0.345 0.000
Rb 0.331 0.714 0.662
Rb 0.669 0.052 0.338
Pd 0.000 0.056 0.000

---

[9]
! Rb4Pd (PBE, relaxed); values from VASP
! **E above lowest polymorph**: 0.013 eV/atom
&SYSTEM
  ibrav = 0, nat = 10, ntyp = 2
/
ATOMIC_SPECIES
Rb 85.47 Rb.upf
Pd 106.42 Pd.upf
CELL_PARAMETERS angstrom
-7.916 -1.586 2.216
2.442 -0.307 8.502
-1.530 8.687 0.753
ATOMIC_POSITIONS crystal
Rb 0.000 0.221 0.660
Rb 0.500 0.340 0.779
Rb 0.000 0.660 0.779
Rb 0.500 0.779 0.660
Rb 0.500 0.660 0.221
Rb 0.000 0.340 0.221
Rb 0.500 0.221 0.340
Pd 0.750 0.500 0.500
Pd 0.250 0.500 0.500
Rb 0.000 0.779 0.340

---

[10]
! Rb3Pd (PBE, relaxed); values from VASP
! **E above lowest polymorph**: 0.069 eV/atom
&SYSTEM
  ibrav = 0, nat = 4, ntyp = 2
/
ATOMIC_SPECIES
Rb 85.47 Rb.upf
Pd 106.42 Pd.upf
CELL_PARAMETERS angstrom
4.821 0.000 0.000
0.000 4.823 0.000
0.000 0.000 9.836
ATOMIC_POSITIONS crystal
Rb 0.000 0.500 0.384
Rb 0.500 0.000 0.784
Rb 0.500 0.500 0.083
Pd 0.000 0.000 0.082

---

[11]
! Rb4Pd (PBE, relaxed); values from VASP
! **E above lowest polymorph**: 0.000 eV/atom
&SYSTEM
  ibrav = 0, nat = 5, ntyp = 2
/
ATOMIC_SPECIES
Rb 85.47 Rb.upf
Pd 106.42 Pd.upf
CELL_PARAMETERS angstrom
6.852 0.000 0.000
0.000 6.852 0.000
0.000 0.000 6.852
ATOMIC_POSITIONS crystal
Rb 0.000 0.500 0.500
Rb 0.500 0.500 0.000
Rb 0.500 0.000 0.500
Rb 0.000 0.000 0.000
Pd 0.500 0.500 0.500

---

[12]
! RbRePd2 (PBE, relaxed); values from VASP
! **E above lowest polymorph**: 0.000 eV/atom
&SYSTEM
  ibrav = 0, nat = 8, ntyp = 3
/
ATOMIC_SPECIES
Pd 106.42 Pd.upf
Re 186.21 Re.upf
Rb 85.47 Rb.upf
CELL_PARAMETERS angstrom
-3.464 6.217 3.094
-6.909 -2.737 -2.235
-5.502 0.049 3.474
ATOMIC_POSITIONS crystal
Pd 0.040 0.625 0.250
Pd 0.375 0.290 0.750
Re 0.000 0.000 0.000
Pd 0.875 0.960 0.750
Rb 0.250 0.750 0.500
Pd 0.710 0.125 0.250
Rb 0.500 0.500 0.000
Re 0.750 0.250 0.500

---

[13]
! RbRePd (PBE, relaxed); values from VASP
! **E above lowest polymorph**: 0.382 eV/atom
&SYSTEM
  ibrav = 0, nat = 12, ntyp = 3
/
ATOMIC_SPECIES
Re 186.21 Re.upf
Rb 85.47 Rb.upf
Pd 106.42 Pd.upf
CELL_PARAMETERS angstrom
9.495 0.000 0.000
0.000 3.230 0.000
0.000 0.000 10.566
ATOMIC_POSITIONS crystal
Re 0.919 0.250 0.468
Rb 0.433 0.250 0.668
Rb 0.067 0.750 0.168
Re 0.419 0.250 0.032
Pd 0.258 0.750 0.896
Pd 0.242 0.250 0.396
Pd 0.742 0.250 0.104
Rb 0.567 0.750 0.332
Pd 0.758 0.750 0.604
Re 0.581 0.750 0.968
Re 0.081 0.750 0.532
Rb 0.933 0.250 0.832

---

[14]
! Rb3RePd (PBE, relaxed); values from VASP
! **E above lowest polymorph**: 0.000 eV/atom
&SYSTEM
  ibrav = 0, nat = 5, ntyp = 3
/
ATOMIC_SPECIES
Pd 106.42 Pd.upf
Rb 85.47 Rb.upf
Re 186.21 Re.upf
CELL_PARAMETERS angstrom
6.356 0.000 0.000
0.000 6.356 0.000
0.000 0.000 6.356
ATOMIC_POSITIONS crystal
Pd 0.000 0.000 0.000
Rb 0.500 0.000 0.000
Rb 0.000 0.500 0.000
Rb 0.000 0.000 0.500
Re 0.500 0.500 0.500

---

[15]
! RbRePd (PBE, relaxed); values from VASP
! **E above lowest polymorph**: 0.220 eV/atom
&SYSTEM
  ibrav = 0, nat = 6, ntyp = 3
/
ATOMIC_SPECIES
Pd 106.42 Pd.upf
Re 186.21 Re.upf
Rb 85.47 Rb.upf
CELL_PARAMETERS angstrom
-1.332 -3.962 -5.938
4.003 -0.916 -0.287
-0.656 -3.961 3.504
ATOMIC_POSITIONS crystal
Pd 0.099 0.250 0.905
Re 0.966 0.750 0.609
Rb 0.599 0.250 0.760
Pd 0.901 0.750 0.095
Rb 0.401 0.750 0.240
Re 0.034 0.250 0.391

---

[16]
! RbRePd (PBE, relaxed); values from VASP
! **E above lowest polymorph**: 0.936 eV/atom
&SYSTEM
  ibrav = 0, nat = 6, ntyp = 3
/
ATOMIC_SPECIES
Rb 85.47 Rb.upf
Pd 106.42 Pd.upf
Re 186.21 Re.upf
CELL_PARAMETERS angstrom
3.644 -2.104 0.000
0.000 4.208 0.000
0.000 0.000 11.766
ATOMIC_POSITIONS crystal
Rb 0.000 0.000 0.500
Rb 0.000 0.000 0.000
Pd 0.667 0.333 0.250
Re 0.333 0.667 0.250
Re 0.667 0.333 0.750
Pd 0.333 0.667 0.750

---

[17]
! RbRePd (PBE, relaxed); values from VASP
! **E above lowest polymorph**: 0.321 eV/atom
&SYSTEM
  ibrav = 0, nat = 6, ntyp = 3
/
ATOMIC_SPECIES
Re 186.21 Re.upf
Rb 85.47 Rb.upf
Pd 106.42 Pd.upf
CELL_PARAMETERS angstrom
10.828 -0.589 0.057
-1.091 4.741 -0.085
-9.524 3.612 3.729
ATOMIC_POSITIONS crystal
Re 0.860 0.081 0.545
Rb 0.394 0.188 0.396
Rb 0.818 0.974 0.187
Pd 0.864 0.464 0.651
Pd 0.348 0.698 0.932
Re 0.353 0.081 0.038

---

[18]
! RbRe2Pd (PBE, relaxed); values from VASP
! **E above lowest polymorph**: 0.534 eV/atom
&SYSTEM
  ibrav = 0, nat = 4, ntyp = 3
/
ATOMIC_SPECIES
Rb 85.47 Rb.upf
Pd 106.42 Pd.upf
Re 186.21 Re.upf
CELL_PARAMETERS angstrom
0.000 3.272 3.272
3.272 0.000 3.272
3.272 3.272 0.000
ATOMIC_POSITIONS crystal
Rb 0.000 0.000 0.000
Pd 0.500 0.500 0.500
Re 0.750 0.750 0.750
Re 0.250 0.250 0.250

---

[19]
! RbRePd (PBE, relaxed); values from VASP
! **E above lowest polymorph**: 1.356 eV/atom
&SYSTEM
  ibrav = 0, nat = 6, ntyp = 3
/
ATOMIC_SPECIES
Rb 85.47 Rb.upf
Pd 106.42 Pd.upf
Re 186.21 Re.upf
CELL_PARAMETERS angstrom
-0.482 5.146 -0.505
-4.203 -2.930 0.849
0.730 0.639 5.817
ATOMIC_POSITIONS crystal
Rb 0.000 0.000 0.250
Pd 0.667 0.333 0.999
Pd 0.333 0.667 0.499
Rb 0.000 0.000 0.750
Re 0.667 0.333 0.501
Re 0.333 0.667 0.001

---

[20]
! RbRePd (PBE, relaxed); values from VASP
! **E above lowest polymorph**: 1.537 eV/atom
&SYSTEM
  ibrav = 0, nat = 3, ntyp = 3
/
ATOMIC_SPECIES
Rb 85.47 Rb.upf
Pd 106.42 Pd.upf
Re 186.21 Re.upf
CELL_PARAMETERS angstrom
2.205 -1.627 4.058
-2.441 -0.092 4.244
-1.336 -4.282 1.964
ATOMIC_POSITIONS crystal
Rb 0.250 0.250 0.250
Pd 0.500 0.500 0.500
Re 0.750 0.750 0.750

---

Result set for formation enthalpy at 0 K: -0.73; -0.24; -0.35; -0.51; -0.75; 0.56; 0.19; 0.13; 0.11; 0.20; 0.09; 1.13; 0.74; 1.39; 0.58; 1.29; 0.68; 2.19; 1.71; 1.89 eV/atom, one per record in the order listed.
Result set for spin magnetization: 4.96; 5.55; 3.98; 20.87; 4.92; 0.02; 1.45; 0.00; 0.00; 0.00; 0.00; 5.51; 0.00; 4.01; 0.00; 0.84; 0.00; 0.00; 7.61; 4.06 Bohr magnetons per cell, one per record in the order listed.